[1]
LaTbTm4S8, optimized geometry, DFT PBE-GGA; E = -0.22976 Ha/atom; formation energy (no corrections) = -1.933 eV/atom
1.0
4.017 2.319 6.601
-4.017 2.319 6.601
0.000 -4.638 6.601
La Tb Tm S
1 1 4 8
direct
0.000 0.000 0.000
0.375 0.375 0.375
0.375 0.375 0.871
0.375 0.871 0.375
0.749 0.749 0.749
0.871 0.375 0.375
0.134 0.134 0.585
0.134 0.585 0.134
0.138 0.138 0.138
0.142 0.621 0.621
0.585 0.134 0.134
0.617 0.617 0.617
0.621 0.142 0.621
0.621 0.621 0.142



[2]
IrICl3, optimized geometry, DFT PBE-GGA; E = -0.10862 Ha/atom; formation energy (no corrections) = 0.235 eV/atom; energy relative to the lowest polymorph listed for this composition = 531 meV per atom
1.0
4.866 0.000 0.000
0.000 4.866 0.000
0.000 0.000 4.866
Ir I Cl
1 1 3
direct
0.000 0.000 0.000
0.500 0.500 0.500
0.000 0.000 0.500
0.000 0.500 0.000
0.500 0.000 0.000